(1)
Density functional theory data (GGA-PBEsol) for a geometry-optimized Ho2Al9Ir3 structure.

Summary:
SG: No. 63
Calculated volume: 16.3 Å³/atom
Calculated total energy: -6.3027 eV/atom
ρ: 8.37 g/cm³
Energy relative to the elements: -0.860 eV/atom

Unit cell a=7.478 b=7.478 c=9.370 alpha=90.00 beta=90.00 gamma=60.51
Fractional coordinates of all 28 atoms:
Ho1 0.005 0.672 0.750
Ho2 0.328 0.995 0.750
Ho3 0.672 0.005 0.250
Ho4 0.995 0.328 0.250
Al1 0.001 0.664 0.075
Al2 0.001 0.664 0.425
Al3 0.128 0.872 0.250
Al4 0.333 0.667 0.552
Al5 0.333 0.667 0.948
Al6 0.336 0.999 0.075
Al7 0.336 0.999 0.425
Al8 0.340 0.450 0.250
Al9 0.450 0.340 0.750
Al10 0.550 0.660 0.250
Al11 0.660 0.550 0.750
Al12 0.664 0.001 0.575
Al13 0.664 0.001 0.925
Al14 0.667 0.333 0.052
Al15 0.667 0.333 0.448
Al16 0.872 0.128 0.750
Al17 0.999 0.336 0.575
Al18 0.999 0.336 0.925
Ir1 0.000 0.000 0.000
Ir2 0.000 0.000 0.500
Ir3 0.328 0.328 0.000
Ir4 0.328 0.328 0.500
Ir5 0.672 0.672 0.000
Ir6 0.672 0.672 0.500

(2)
Density functional theory data (GGA-PBEsol) for a geometry-optimized Hf3CF structure.

Summary:
SG: No. 221
ΔE to the lowest computed polymorph: 0 meV/atom
Calculated volume: 17.4 Å³/atom
Calculated total energy: -8.7211 eV/atom
ρ: 10.81 g/cm³
Energy relative to the elements, uncorrected: -0.105 eV per atom

Unit cell a=4.431 b=4.431 c=4.431 alpha=90.00 beta=90.00 gamma=90.00
Fractional coordinates of all 5 atoms:
Hf1 0.000 0.000 0.500
Hf2 0.000 0.500 0.000
Hf3 0.500 0.000 0.000
C1 0.000 0.000 0.000
F1 0.500 0.500 0.500

(3)
Density functional theory data (GGA-PBEsol) for a geometry-optimized BaBeOs2 structure.

Summary:
SG: No. 8
Calculated volume: 22.1 Å³/atom
Calculated total energy: -7.5036 eV/atom
ρ: 9.90 g/cm³
Energy relative to the elements: 0.142 eV/atom

Unit cell a=7.290 b=4.213 c=6.248 alpha=90.00 beta=112.95 gamma=90.00
Fractional coordinates of all 8 atoms:
Ba1 0.000 0.000 0.000
Ba2 0.500 0.500 0.000
Be1 0.177 0.000 0.532
Be2 0.677 0.500 0.532
Os1 0.318 0.500 0.454
Os2 0.499 0.000 0.497
Os3 0.818 0.000 0.454
Os4 0.999 0.500 0.497

(4)
Density functional theory data (GGA-PBEsol) for a geometry-optimized Fe4SiP structure.

Summary:
SG: No. 216
Calculated volume: 11.5 Å³/atom
Calculated total energy: -7.7114 eV/atom
ρ: 6.79 g/cm³
Energy relative to the elements, uncorrected: 0.187 eV per atom

Unit cell a=4.606 b=4.606 c=4.606 alpha=60.00 beta=60.00 gamma=60.00
Fractional coordinates of all 6 atoms:
Fe1 0.125 0.125 0.125
Fe2 0.125 0.125 0.625
Fe3 0.125 0.625 0.125
Fe4 0.625 0.125 0.125
Si1 0.750 0.750 0.750
P1 0.500 0.500 0.500

(5)
Density functional theory data (GGA-PBEsol) for a geometry-optimized BeCdPt2 structure.

Summary:
SG: No. 123
Calculated volume: 13.9 Å³/atom
Calculated total energy: -5.3440 eV/atom
ρ: 15.25 g/cm³
Energy relative to the elements: -0.563 eV/atom

Unit cell a=2.818 b=2.818 c=7.017 alpha=90.00 beta=90.00 gamma=90.00
Fractional coordinates of all 4 atoms:
Be1 0.000 0.000 0.000
Cd1 0.000 0.000 0.500
Pt1 0.500 0.500 0.200
Pt2 0.500 0.500 0.800

(6)
Density functional theory data (GGA-PBEsol) for a geometry-optimized ZrCdBi2H structure.

Summary:
SG: No. 123
Calculated volume: 35.4 Å³/atom
Calculated total energy: -3.6145 eV/atom
ρ: 5.84 g/cm³

Unit cell a=5.556 b=5.556 c=5.731 alpha=90.00 beta=90.00 gamma=90.00
Fractional coordinates of all 5 atoms:
Zr1 0.000 0.000 0.000
Cd1 0.000 0.000 0.500
Bi1 0.000 0.500 0.000
Bi2 0.500 0.000 0.000
H1 0.500 0.500 0.500

(7)
Density functional theory data (GGA-PBEsol) for a geometry-optimized ScTi2Ir structure.

Summary:
SG: No. 225
Calculated volume: 15.8 Å³/atom
Calculated total energy: -8.6899 eV/atom
ρ: 8.73 g/cm³
Energy relative to the elements: -0.422 eV/atom

Unit cell a=6.327 b=6.327 c=6.327 alpha=90.00 beta=90.00 gamma=90.00
Fractional coordinates of all 16 atoms:
Sc1 0.000 0.000 0.000
Sc2 0.000 0.500 0.500
Sc3 0.500 0.000 0.500
Sc4 0.500 0.500 0.000
Ti1 0.250 0.250 0.250
Ti2 0.250 0.250 0.750
Ti3 0.250 0.750 0.250
Ti4 0.250 0.750 0.750
Ti5 0.750 0.250 0.250
Ti6 0.750 0.250 0.750
Ti7 0.750 0.750 0.250
Ti8 0.750 0.750 0.750
Ir1 0.000 0.000 0.500
Ir2 0.000 0.500 0.000
Ir3 0.500 0.000 0.000
Ir4 0.500 0.500 0.500

(8)
Density functional theory data (GGA-PBEsol) for a geometry-optimized TcAsSe2O structure.

Summary:
SG: No. 123
Calculated volume: 15.5 Å³/atom
Calculated total energy: -5.2479 eV/atom
ρ: 7.44 g/cm³
Energy relative to the elements, uncorrected: 0.617 eV per atom

Unit cell a=4.326 b=4.326 c=4.136 alpha=90.00 beta=90.00 gamma=90.00
Fractional coordinates of all 5 atoms:
Tc1 0.000 0.000 0.000
As1 0.500 0.500 0.000
Se1 0.000 0.500 0.500
Se2 0.500 0.000 0.500
O1 0.500 0.500 0.500

(9)
Density functional theory data (GGA-PBEsol) for a geometry-optimized ScCo2Hg structure.

Summary:
SG: No. 216
Calculated volume: 15.1 Å³/atom
Calculated total energy: -5.5633 eV/atom
ρ: 10.00 g/cm³
Energy relative to the elements: 0.098 eV/atom

Unit cell a=6.227 b=6.227 c=6.227 alpha=90.00 beta=90.00 gamma=90.00
Fractional coordinates of all 16 atoms:
Sc1 0.000 0.000 0.000
Sc2 0.000 0.500 0.500
Sc3 0.500 0.000 0.500
Sc4 0.500 0.500 0.000
Co1 0.000 0.000 0.500
Co2 0.000 0.500 0.000
Co3 0.250 0.250 0.750
Co4 0.250 0.750 0.250
Co5 0.500 0.000 0.000
Co6 0.500 0.500 0.500
Co7 0.750 0.250 0.250
Co8 0.750 0.750 0.750
Hg1 0.250 0.250 0.250
Hg2 0.250 0.750 0.750
Hg3 0.750 0.250 0.750
Hg4 0.750 0.750 0.250

(10)
Density functional theory data (GGA-PBEsol) for a geometry-optimized CaHgAu2 structure.

Summary:
SG: No. 38
Calculated volume: 21.7 Å³/atom
Calculated total energy: -3.0952 eV/atom
ρ: 12.13 g/cm³
Energy relative to the elements: -0.458 eV/atom

Unit cell a=4.307 b=3.712 c=10.866 alpha=90.00 beta=90.00 gamma=90.00
Fractional coordinates of all 8 atoms:
Ca1 0.000 0.000 0.000
Ca2 0.000 0.500 0.500
Hg1 0.500 0.000 0.315
Hg2 0.500 0.500 0.815
Au1 0.000 0.000 0.734
Au2 0.000 0.500 0.234
Au3 0.500 0.000 0.580
Au4 0.500 0.500 0.080

(11)
Density functional theory data (GGA-PBEsol) for a geometry-optimized Al14Cu3Se24 structure.

Summary:
SG: No. 8
Calculated volume: 20.9 Å³/atom
Calculated total energy: -4.6678 eV/atom
ρ: 4.77 g/cm³
Energy relative to the elements, uncorrected: -0.700 eV per atom

Unit cell a=7.365 b=7.365 c=18.159 alpha=90.48 beta=90.48 gamma=60.54
Fractional coordinates of all 41 atoms:
Al1 0.000 0.000 0.000
Al2 0.005 0.005 0.617
Al3 0.162 0.162 0.158
Al4 0.163 0.685 0.159
Al5 0.333 0.333 0.951
Al6 0.339 0.339 0.335
Al7 0.345 0.822 0.823
Al8 0.491 0.999 0.491
Al9 0.656 0.656 0.659
Al10 0.676 0.676 0.287
Al11 0.685 0.163 0.159
Al12 0.821 0.821 0.822
Al13 0.822 0.345 0.823
Al14 0.999 0.491 0.491
Cu1 0.326 0.326 0.697
Cu2 0.667 0.667 0.033
Cu3 0.991 0.991 0.371
Se1 0.004 0.004 0.239
Se2 0.031 0.491 0.240
Se3 0.151 0.689 0.907
Se4 0.154 0.154 0.906
Se5 0.168 0.650 0.416
Se6 0.172 0.172 0.408
Se7 0.318 0.318 0.570
Se8 0.321 0.843 0.078
Se9 0.336 0.336 0.085
Se10 0.348 0.805 0.569
Se11 0.491 0.031 0.240
Se12 0.494 0.494 0.241
Se13 0.500 0.500 0.745
Se14 0.505 0.977 0.742
Se15 0.650 0.168 0.416
Se16 0.656 0.656 0.417
Se17 0.664 0.664 0.903
Se18 0.689 0.151 0.907
Se19 0.805 0.348 0.569
Se20 0.818 0.818 0.574
Se21 0.842 0.842 0.079
Se22 0.843 0.321 0.078
Se23 0.977 0.505 0.742
Se24 0.996 0.996 0.752

(12)
Density functional theory data (GGA-PBEsol) for a geometry-optimized Sn2BiPb structure.

Summary:
SG: No. 225
Calculated volume: 27.9 Å³/atom
Calculated total energy: -4.1464 eV/atom
ρ: 9.71 g/cm³
Energy relative to the elements: 0.054 eV/atom

Unit cell a=7.647 b=7.647 c=7.647 alpha=90.00 beta=90.00 gamma=90.00
Fractional coordinates of all 16 atoms:
Sn1 0.250 0.250 0.250
Sn2 0.250 0.250 0.750
Sn3 0.250 0.750 0.250
Sn4 0.250 0.750 0.750
Sn5 0.750 0.250 0.250
Sn6 0.750 0.250 0.750
Sn7 0.750 0.750 0.250
Sn8 0.750 0.750 0.750
Bi1 0.000 0.000 0.000
Bi2 0.000 0.500 0.500
Bi3 0.500 0.000 0.500
Bi4 0.500 0.500 0.000
Pb1 0.000 0.000 0.500
Pb2 0.000 0.500 0.000
Pb3 0.500 0.000 0.000
Pb4 0.500 0.500 0.500

Q: Which of these has the highest calculated total energy?
A: CaHgAu2

Repeat the third record exactly.
Density functional theory data (GGA-PBEsol) for a geometry-optimized BaBeOs2 structure.

Summary:
SG: No. 8
Calculated volume: 22.1 Å³/atom
Calculated total energy: -7.5036 eV/atom
ρ: 9.90 g/cm³
Energy relative to the elements: 0.142 eV/atom

Unit cell a=7.290 b=4.213 c=6.248 alpha=90.00 beta=112.95 gamma=90.00
Fractional coordinates of all 8 atoms:
Ba1 0.000 0.000 0.000
Ba2 0.500 0.500 0.000
Be1 0.177 0.000 0.532
Be2 0.677 0.500 0.532
Os1 0.318 0.500 0.454
Os2 0.499 0.000 0.497
Os3 0.818 0.000 0.454
Os4 0.999 0.500 0.497

Q: The lowest calculated volume belongs to which entry?
A: Fe4SiP

Q: Look up the calculated total energy of the sixth one.
A: -3.6145 eV/atom